[1]
# Nd6Cd5Bi PBE-GGA relaxed
# Symmetry: Immm, No. 71
# Formation energy, eV/f.u.: -4.75
data_Nd6Cd5Bi
_cell_length_a 5.5007
_cell_length_b 9.5394
_cell_length_c 9.5393
_cell_angle_alpha 120.74
_cell_angle_beta 106.77
_cell_angle_gamma 106.77
_symmetry_space_group_name_H-M 'P 1'
_symmetry_Int_Tables_number 1
loop_
_symmetry_equiv_pos_as_xyz
'x,y,z'
loop_
_atom_site_label
_atom_site_type_symbol
_atom_site_fract_x
_atom_site_fract_y
_atom_site_fract_z
Nd1 Nd 0.7496 0.5822 0.9170
Cd1 Cd 0.0000 0.6663 0.3337
Nd2 Nd 0.2504 0.4178 0.0830
Nd3 Nd 0.7508 0.2508 0.2508
Nd4 Nd 0.7496 0.9170 0.5822
Cd2 Cd 0.5000 0.1747 0.8253
Cd3 Cd 0.5000 0.5000 0.5000
Cd4 Cd 0.5000 0.8253 0.1747
Cd5 Cd 0.0000 0.3337 0.6663
Nd5 Nd 0.2504 0.0830 0.4178
Bi1 Bi 0.0000 0.0000 0.0000
Nd6 Nd 0.2492 0.7492 0.7492

---

[2]
# Ca2Zn5Ni2Ag PBE-GGA relaxed
# Symmetry: P4/mbm, No. 127
# Formation energy, eV/f.u.: -1.85
data_Ca2Zn5Ni2Ag
_cell_length_a 3.9761
_cell_length_b 9.4150
_cell_length_c 9.4150
_cell_angle_alpha 90.00
_cell_angle_beta 90.00
_cell_angle_gamma 90.00
_symmetry_space_group_name_H-M 'P 1'
_symmetry_Int_Tables_number 1
loop_
_symmetry_equiv_pos_as_xyz
'x,y,z'
loop_
_atom_site_label
_atom_site_type_symbol
_atom_site_fract_x
_atom_site_fract_y
_atom_site_fract_z
Ca1 Ca 0.0000 0.8192 0.6808
Ni1 Ni 0.0000 0.6115 0.8885
Zn1 Zn 0.5000 0.4379 0.2866
Zn2 Zn 0.5000 0.0000 0.5000
Zn3 Zn 0.5000 0.0621 0.7866
Ag1 Ag 0.0000 0.0000 0.0000
Ca2 Ca 0.0000 0.3192 0.8192
Zn4 Zn 0.5000 0.5000 0.0000
Zn5 Zn 0.5000 0.9379 0.2134
Ni2 Ni 0.0000 0.8885 0.3885
Ca3 Ca 0.0000 0.1808 0.3192
Zn6 Zn 0.5000 0.7134 0.4379
Zn7 Zn 0.5000 0.2134 0.0621
Ni3 Ni 0.0000 0.3885 0.1115
Zn8 Zn 0.5000 0.7866 0.9379
Zn9 Zn 0.5000 0.2866 0.5621
Ag2 Ag 0.0000 0.5000 0.5000
Ni4 Ni 0.0000 0.1115 0.6115
Zn10 Zn 0.5000 0.5621 0.7134
Ca4 Ca 0.0000 0.6808 0.1808

---

[3]
# ZrSi3Sn PBE-GGA relaxed
# Symmetry: Pm-3m, No. 221
# Energy above the most stable polymorph in this dataset, kJ/mol of atoms: 56.0
# Raw formation energy, eV per formula unit: 6.51
data_ZrSi3Sn
_cell_length_a 4.9914
_cell_length_b 4.9914
_cell_length_c 4.9914
_cell_angle_alpha 90.00
_cell_angle_beta 90.00
_cell_angle_gamma 90.00
_symmetry_space_group_name_H-M 'P 1'
_symmetry_Int_Tables_number 1
loop_
_symmetry_equiv_pos_as_xyz
'x,y,z'
loop_
_atom_site_label
_atom_site_type_symbol
_atom_site_fract_x
_atom_site_fract_y
_atom_site_fract_z
Si1 Si 0.5000 0.0000 0.0000
Sn1 Sn 0.0000 0.0000 0.0000
Zr1 Zr 0.5000 0.5000 0.5000
Si2 Si 0.0000 0.0000 0.5000
Si3 Si 0.0000 0.5000 0.0000

---

[4]
# NbInGe2 PBE-GGA relaxed
# Symmetry: I-42d, No. 122
# Energy above the most stable polymorph in this dataset, kJ/mol of atoms: 12.5
# Formation energy, eV/f.u.: 2.14
data_NbInGe2
_cell_length_a 6.1364
_cell_length_b 6.1364
_cell_length_c 7.3838
_cell_angle_alpha 65.45
_cell_angle_beta 65.45
_cell_angle_gamma 90.00
_symmetry_space_group_name_H-M 'P 1'
_symmetry_Int_Tables_number 1
loop_
_symmetry_equiv_pos_as_xyz
'x,y,z'
loop_
_atom_site_label
_atom_site_type_symbol
_atom_site_fract_x
_atom_site_fract_y
_atom_site_fract_z
Ge1 Ge 0.5985 0.1250 0.2500
In1 In 0.7500 0.2500 0.5000
Ge2 Ge 0.3750 0.4015 0.7500
Nb1 Nb 0.5000 0.5000 0.0000
Ge3 Ge 0.8750 0.8485 0.7500
Ge4 Ge 0.1515 0.6250 0.2500
In2 In 0.0000 0.0000 0.0000
Nb2 Nb 0.2500 0.7500 0.5000

---

[5]
# Cs2UTlSe6 PBE-GGA relaxed
# Symmetry: P2_1/c, No. 14
# Raw formation energy, eV per formula unit: -7.44
data_Cs2UTlSe6
_cell_length_a 7.9051
_cell_length_b 7.7826
_cell_length_c 11.0355
_cell_angle_alpha 90.00
_cell_angle_beta 89.76
_cell_angle_gamma 90.00
_symmetry_space_group_name_H-M 'P 1'
_symmetry_Int_Tables_number 1
loop_
_symmetry_equiv_pos_as_xyz
'x,y,z'
loop_
_atom_site_label
_atom_site_type_symbol
_atom_site_fract_x
_atom_site_fract_y
_atom_site_fract_z
Se1 Se 0.0265 0.5032 0.7586
Se2 Se 0.2428 0.7369 0.0124
Se3 Se 0.7428 0.7631 0.5124
Cs1 Cs 0.5002 0.5030 0.7521
Se4 Se 0.7674 0.7479 0.9890
Se5 Se 0.5265 0.9968 0.2586
Se6 Se 0.7572 0.2631 0.9876
U1 U 0.0000 0.5000 0.0000
Se7 Se 0.2674 0.7521 0.4890
Se8 Se 0.4735 0.0032 0.7414
Cs2 Cs 0.0002 0.9970 0.2521
Se9 Se 0.2326 0.2521 0.0110
U2 U 0.5000 0.0000 0.5000
Cs3 Cs 0.4998 0.4970 0.2479
Tl1 Tl 0.0000 0.5000 0.5000
Tl2 Tl 0.5000 0.0000 0.0000
Cs4 Cs 0.9998 0.0030 0.7479
Se10 Se 0.2572 0.2369 0.4876
Se11 Se 0.7326 0.2479 0.5110
Se12 Se 0.9735 0.4968 0.2414

---

[6]
# MgTlIn2O6 PBE-GGA relaxed
# Symmetry: R3, No. 146
# Raw formation energy, eV per formula unit: -13.59
data_MgTlIn2O6
_cell_length_a 5.5638
_cell_length_b 5.5633
_cell_length_c 5.8585
_cell_angle_alpha 61.64
_cell_angle_beta 61.64
_cell_angle_gamma 60.00
_symmetry_space_group_name_H-M 'P 1'
_symmetry_Int_Tables_number 1
loop_
_symmetry_equiv_pos_as_xyz
'x,y,z'
loop_
_atom_site_label
_atom_site_type_symbol
_atom_site_fract_x
_atom_site_fract_y
_atom_site_fract_z
O1 O 0.4252 0.7226 0.7432
O2 O 0.6321 0.2046 0.2579
O3 O 0.1089 0.4253 0.7431
Mg1 Mg 0.8114 0.8114 0.5656
In1 In 0.0251 0.0251 0.9247
In2 In 0.5198 0.5198 0.4406
O4 O 0.2046 0.9054 0.2579
Tl1 Tl 0.3063 0.3063 0.0811
O5 O 0.7226 0.1089 0.7432
O6 O 0.9054 0.6321 0.2580

---

[7]
# KMnOs2 PBE-GGA relaxed
# Symmetry: P4/mmm, No. 123
# Energy above the most stable polymorph in this dataset, kJ/mol of atoms: 9.1
# Formation energy, eV/f.u.: 3.24
data_KMnOs2
_cell_length_a 2.6976
_cell_length_b 2.6976
_cell_length_c 9.2726
_cell_angle_alpha 90.00
_cell_angle_beta 90.00
_cell_angle_gamma 90.00
_symmetry_space_group_name_H-M 'P 1'
_symmetry_Int_Tables_number 1
loop_
_symmetry_equiv_pos_as_xyz
'x,y,z'
loop_
_atom_site_label
_atom_site_type_symbol
_atom_site_fract_x
_atom_site_fract_y
_atom_site_fract_z
K1 K 0.5000 0.5000 0.2500
Mn1 Mn 0.5000 0.5000 0.7500
Os1 Os 0.0000 0.0000 0.9380
Os2 Os 0.0000 0.0000 0.5620

---

[8]
# Pm3Y PBE-GGA relaxed
# Symmetry: Fm-3m, No. 225
# Energy above the most stable polymorph in this dataset, kJ/mol of atoms: 11.4
# Formation energy, eV/f.u.: 0.53
data_Pm3Y
_cell_length_a 5.7787
_cell_length_b 5.7787
_cell_length_c 5.7787
_cell_angle_alpha 60.00
_cell_angle_beta 60.00
_cell_angle_gamma 60.00
_symmetry_space_group_name_H-M 'P 1'
_symmetry_Int_Tables_number 1
loop_
_symmetry_equiv_pos_as_xyz
'x,y,z'
loop_
_atom_site_label
_atom_site_type_symbol
_atom_site_fract_x
_atom_site_fract_y
_atom_site_fract_z
Pm1 Pm 0.7500 0.7500 0.7500
Pm2 Pm 0.0000 0.0000 0.0000
Y1 Y 0.5000 0.5000 0.5000
Pm3 Pm 0.2500 0.2500 0.2500

---

[9]
# Dy6Ag2Sn PBE-GGA relaxed
# Symmetry: Immm, No. 71
# Formation energy, eV/f.u.: -2.47
data_Dy6Ag2Sn
_cell_length_a 8.6737
_cell_length_b 8.6737
_cell_length_c 8.6737
_cell_angle_alpha 108.15
_cell_angle_beta 110.46
_cell_angle_gamma 109.81
_symmetry_space_group_name_H-M 'P 1'
_symmetry_Int_Tables_number 1
loop_
_symmetry_equiv_pos_as_xyz
'x,y,z'
loop_
_atom_site_label
_atom_site_type_symbol
_atom_site_fract_x
_atom_site_fract_y
_atom_site_fract_z
Dy1 Dy 0.2815 0.6052 0.3237
Ag1 Ag 0.5000 0.6335 0.1335
Dy2 Dy 0.7963 0.7553 0.5517
Dy3 Dy 0.5479 0.7290 0.8188
Dy4 Dy 0.2037 0.2447 0.4483
Dy5 Dy 0.2815 0.9578 0.6763
Ag2 Ag 0.6441 0.0000 0.6441
Dy6 Dy 0.4521 0.2710 0.1812
Dy7 Dy 0.7185 0.0422 0.3237
Dy8 Dy 0.0898 0.2710 0.8188
Ag3 Ag 0.5000 0.3665 0.8665
Dy9 Dy 0.2037 0.7553 0.9590
Dy10 Dy 0.9102 0.7290 0.1812
Dy11 Dy 0.7963 0.2447 0.0410
Dy12 Dy 0.7185 0.3948 0.6763
Sn1 Sn 0.0000 0.5000 0.5000
Sn2 Sn 0.0000 0.0000 0.0000
Ag4 Ag 0.3559 0.0000 0.3559

---

[10]
# MoCSe2 PBE-GGA relaxed
# Symmetry: R-3m, No. 166
# Raw formation energy, eV per formula unit: 5.52
data_MoCSe2
_cell_length_a 7.7529
_cell_length_b 7.7529
_cell_length_c 7.7529
_cell_angle_alpha 23.27
_cell_angle_beta 23.27
_cell_angle_gamma 23.27
_symmetry_space_group_name_H-M 'P 1'
_symmetry_Int_Tables_number 1
loop_
_symmetry_equiv_pos_as_xyz
'x,y,z'
loop_
_atom_site_label
_atom_site_type_symbol
_atom_site_fract_x
_atom_site_fract_y
_atom_site_fract_z
Se1 Se 0.3933 0.3933 0.3933
Se2 Se 0.6067 0.6067 0.6067
Mo1 Mo 0.5000 0.5000 0.5000
C1 C 0.0000 0.0000 0.0000

---

[11]
# Pm8Sm4Th PBE-GGA relaxed
# Symmetry: R-3m, No. 166
# Formation energy, eV/f.u.: 5.47
data_Pm8Sm4Th
_cell_length_a 11.8002
_cell_length_b 11.8002
_cell_length_c 7.8538
_cell_angle_alpha 90.00
_cell_angle_beta 138.70
_cell_angle_gamma 120.00
_symmetry_space_group_name_H-M 'P 1'
_symmetry_Int_Tables_number 1
loop_
_symmetry_equiv_pos_as_xyz
'x,y,z'
loop_
_atom_site_label
_atom_site_type_symbol
_atom_site_fract_x
_atom_site_fract_y
_atom_site_fract_z
Pm1 Pm 0.4792 0.2396 0.7188
Pm2 Pm 0.5208 0.7604 0.2812
Th1 Th 0.0000 0.5000 0.5000
Pm3 Pm 0.1620 0.8309 0.9929
Pm4 Pm 0.3381 0.1691 0.0071
Sm1 Sm 0.0000 0.5000 0.0000
Pm5 Pm 0.1620 0.3311 0.9929
Pm6 Pm 0.8380 0.6689 0.0071
Pm7 Pm 0.6619 0.8309 0.9929
Sm2 Sm 0.0000 0.0000 0.0000
Pm8 Pm 0.8380 0.1691 0.0071
Sm3 Sm 0.5000 0.5000 0.0000
Sm4 Sm 0.5000 0.0000 0.0000

---

[12]
# PaNi2W PBE-GGA relaxed
# Symmetry: R-3m, No. 166
# Formation energy, eV/f.u.: 2.58
data_PaNi2W
_cell_length_a 2.8270
_cell_length_b 2.8270
_cell_length_c 9.8325
_cell_angle_alpha 81.73
_cell_angle_beta 81.73
_cell_angle_gamma 60.00
_symmetry_space_group_name_H-M 'P 1'
_symmetry_Int_Tables_number 1
loop_
_symmetry_equiv_pos_as_xyz
'x,y,z'
loop_
_atom_site_label
_atom_site_type_symbol
_atom_site_fract_x
_atom_site_fract_y
_atom_site_fract_z
Ni1 Ni 0.9188 0.9188 0.2436
W1 W 0.0000 0.0000 0.0000
Pa1 Pa 0.5000 0.5000 0.5000
Ni2 Ni 0.0812 0.0812 0.7564